[1]
This record from Alexandria describes a relaxed structure of KY3Zn. The functional is PBE.

- Space-group type: Pm-3m (221)
- Formation energy: 0.316 eV/atom
- DOS at the Fermi energy: 7.96 states/eV per cell
- Spin magnetization: 0.0 μB/f.u.
- E_tot: -20.18 eV per cell

abc: 5.656 5.656 5.656
angles: 90.00 90.00 90.00
Fractional positions:
Y: 0.000 0.000 0.500
Y: 0.000 0.500 0.000
K: 0.500 0.500 0.500
Zn: 0.000 0.000 0.000
Y: 0.500 0.000 0.000

---

[2]
This record from Alexandria describes a relaxed structure of K3YZn. The functional is PBE.

- Space-group type: Pm-3m (221)
- Formation energy: 0.972 eV/atom
- DOS at the Fermi energy: 6.68 states/eV per cell
- Spin magnetization: 3.9 μB/f.u.
- E_tot: -6.17 eV per cell

abc: 7.481 7.481 7.481
angles: 90.00 90.00 90.00
Fractional positions:
K: 0.000 0.000 0.500
K: 0.500 0.000 0.000
Y: 0.000 0.000 0.000
Zn: 0.500 0.500 0.500
K: 0.000 0.500 0.000

---

[3]
This record from Alexandria describes a relaxed structure of KYZn4. The functional is PBE.

- Space-group type: F-43m (216)
- Formation energy: 0.010 eV/atom
- DOS at the Fermi energy: 4.93 states/eV per cell
- Spin magnetization: 0.0 μB/f.u.
- E_tot: -12.60 eV per cell

abc: 5.631 5.631 5.631
angles: 60.00 60.00 60.00
Fractional positions:
Zn: 0.374 0.374 0.374
Y: 0.000 0.000 0.000
Zn: 0.374 0.374 0.879
Zn: 0.374 0.879 0.374
K: 0.750 0.750 0.750
Zn: 0.879 0.374 0.374

---

[4]
This record from Alexandria describes a relaxed structure of K2YZn. The functional is PBE.

- Space-group type: Cmmm (65)
- Formation energy: 0.409 eV/atom
- DOS at the Fermi energy: 3.78 states/eV per cell
- Spin magnetization: 0.0 μB/f.u.
- E_tot: -8.30 eV per cell

abc: 3.634 3.634 12.522
angles: 90.00 90.00 111.07
Fractional positions:
Y: 0.500 0.500 0.250
Zn: 0.500 0.500 0.750
K: 0.000 0.000 0.970
K: 0.000 0.000 0.530

---

[5]
This record from Alexandria describes a relaxed structure of K2YZn2. The functional is PBE.

- Space-group type: I4/mmm (139)
- Formation energy: 0.321 eV/atom
- DOS at the Fermi energy: 4.19 states/eV per cell
- Spin magnetization: 0.0 μB/f.u.
- E_tot: -9.60 eV per cell

abc: 4.459 4.459 8.361
angles: 74.53 74.53 90.00
Fractional positions:
K: 0.250 0.750 0.500
Y: 0.000 0.000 0.000
Zn: 0.579 0.579 0.841
K: 0.750 0.250 0.500
Zn: 0.421 0.421 0.159

---

[6]
This record from Alexandria describes a relaxed structure of K2YZn. The functional is PBE.

- Space-group type: I-42d (122)
- Formation energy: 0.513 eV/atom
- DOS at the Fermi energy: 7.91 states/eV per cell
- Spin magnetization: 0.0 μB/f.u.
- E_tot: -15.76 eV per cell

abc: 10.967 10.967 8.298
angles: 48.63 48.63 90.00
Fractional positions:
Y: 0.000 0.000 0.000
K: 0.875 0.781 0.750
Zn: 0.500 0.500 0.000
Y: 0.750 0.250 0.500
K: 0.219 0.625 0.250
K: 0.375 0.469 0.750
Zn: 0.250 0.750 0.500
K: 0.531 0.125 0.250

---

[7]
This record from Alexandria describes a relaxed structure of K2YZn. The functional is PBE.

- Space-group type: Pm (6)
- Formation energy: 0.094 eV/atom
- DOS at the Fermi energy: 2.56 states/eV per cell
- Spin magnetization: 0.0 μB/f.u.
- E_tot: -9.56 eV per cell

abc: 3.828 3.835 11.923
angles: 71.57 90.00 90.00
Fractional positions:
Zn: 0.500 0.801 0.699
Y: 0.000 0.410 0.588
K: 0.500 0.205 0.292
K: 0.000 0.084 0.921

---

[8]
This record from Alexandria describes a relaxed structure of K2YZn. The functional is PBE.

- Space-group type: P4/mmm (123)
- Formation energy: 0.436 eV/atom
- DOS at the Fermi energy: 4.74 states/eV per cell
- Spin magnetization: 1.2 μB/f.u.
- E_tot: -8.19 eV per cell

abc: 6.503 4.683 4.683
angles: 90.00 90.00 90.00
Fractional positions:
Y: 0.500 0.500 0.000
Zn: 0.500 0.000 0.500
K: 0.000 0.000 0.000
K: 0.000 0.500 0.500